Record 1
Crystalline PbSe2BrN at its relaxed geometry. Source: Alexandria, functional PBE.

a = 5.829 Å, b = 5.829 Å, c = 4.096 Å
α = 90.00°, β = 90.00°, γ = 90.00°
Atoms (fractional coordinates):
Pb  0.000  0.000  0.000
Se  0.000  0.500  0.500
Se  0.500  0.000  0.500
Br  0.500  0.500  0.500
N  0.500  0.500  0.000

Computed properties:
Density in g/cm3: 5.48
Formation energy (no corrections) in eV per atom: 1.13
Polymorph energy (0 for the lowest one) in meV/atom: 561.3
M_tot in μB per formula unit: 1.653
Energy in eV/cell: -15.0


Record 2
Crystalline PbSe2BrN at its relaxed geometry. Source: Alexandria, functional PBE.

a = 5.668 Å, b = 5.668 Å, c = 4.547 Å
α = 90.00°, β = 90.00°, γ = 90.00°
Atoms (fractional coordinates):
Pb  0.000  0.000  0.000
Se  0.000  0.500  0.000
Se  0.500  0.000  0.000
Br  0.500  0.500  0.500
N  0.000  0.000  0.500

Computed properties:
Density in g/cm3: 5.22
Formation energy (no corrections) in eV per atom: 1.17
Polymorph energy (0 for the lowest one) in meV/atom: 602.0
M_tot in μB per formula unit: 4.621
Energy in eV/cell: -14.8


Record 3
Crystalline PbSe2BrN at its relaxed geometry. Source: Alexandria, functional PBE.

a = 4.498 Å, b = 4.498 Å, c = 5.113 Å
α = 90.00°, β = 90.00°, γ = 90.00°
Atoms (fractional coordinates):
Pb  0.000  0.000  0.000
Se  0.000  0.500  0.500
Se  0.500  0.000  0.500
Br  0.500  0.500  0.000
N  0.500  0.500  0.500

Computed properties:
Density in g/cm3: 7.37
Formation energy (no corrections) in eV per atom: 0.57
Polymorph energy (0 for the lowest one) in meV/atom: 0.0
M_tot in μB per formula unit: 0.000
Energy in eV/cell: -17.8